The following is a DFT calculation (PBE) of a relaxed structure of PaPd3Pb.

Cell: 15.109 3.381 8.732 Å, 90.00 106.12 90.00°
Space group C2/m (No. 12)
Inequivalent atoms, fractional coordinates:
Pa (0.101, 0.000, 0.028) [4 per cell]
Pd (0.016, 0.500, 0.226) [4 per cell]
Pd (0.187, 0.000, 0.356) [4 per cell]
Pd (0.202, 0.500, 0.874) [4 per cell]
Pb (0.115, 0.500, 0.557) [4 per cell]

Total energy ... -121.009 eV per cell
Total magnetic moment ... 0.0 μB per formula unit